{"formula": "HfMn2CrGa", "functional": "GGA-PBE", "state": "optimized geometry", "lattice": [[4.4185, 0.0000, 0.0000], [0.0000, 4.9649, 0.0000], [0.0000, 0.0000, 4.4185]], "species": ["Mn", "Mn", "Cr", "Hf", "Ga"], "frac_coords": [[0.5000, 0.0000, 0.0000], [0.0000, 0.0000, 0.5000], [0.5000, 0.5000, 0.5000], [0.0000, 0.5000, 0.0000], [0.0000, 0.0000, 0.0000]], "total_energy_ev_per_cell": -34.6, "formation_enthalpy_0k_ev_per_atom": 1.275, "magnetic_moment_mub_per_atom": 1.29}